The following is a PBE calculation of crystalline SmGd4P3 at its relaxed geometry, from the Open Quantum Materials Database.

Results
- total magnetic moment (Bohr magnetons per cell) = 0.02
- VASP energy (eV per cell) = -45.17
- space group = No. 221

a b c (Å): 5.8722 5.8722 5.8722
angles (deg): 90.00 90.00 90.00
Positions (direct):
Gd 0.5000 0.0000 0.0000
Gd 0.0000 0.5000 0.0000
Gd 0.0000 0.0000 0.5000
Gd 0.5000 0.5000 0.5000
P 0.5000 0.5000 0.0000
P 0.5000 0.0000 0.5000
P 0.0000 0.5000 0.5000
Sm 0.0000 0.0000 0.0000